Here is a relaxed BeRu3 crystal from the Alexandria database. Energies are from PBE-GGA.

## Properties
Formation energy from the elements in eV per atom: 0.295
Energy above the lowest structure with this stoichiometry in meV per atom: 375

Geometry as CIF:
```
data_BeRu3
_chemical_formula_sum 'Be2 Ru6'
_symmetry_space_group_name_H-M 'C m m m'
_symmetry_Int_Tables_number 65
_symmetry_space_group_name_Hall '-C 2 2'
_cell_length_a 2.7826
_cell_length_b 4.5269
_cell_length_c 8.3019
_cell_angle_alpha 90.00
_cell_angle_beta 90.00
_cell_angle_gamma 90.00
loop_
_atom_site_label
_atom_site_fract_x
_atom_site_fract_y
_atom_site_fract_z
Be1 0.0000 0.0000 0.0000
Ru1 0.0000 0.0000 0.5000
Ru2 0.0000 0.5000 0.2263
```



Here is a relaxed BeRu8 crystal from the Alexandria database. Energies are from PBE-GGA.

## Properties
Formation energy from the elements in eV per atom: 0.100

Geometry as CIF:
```
data_BeRu8
_chemical_formula_sum 'Be2 Ru16'
_symmetry_space_group_name_H-M 'I 4/m m m'
_symmetry_Int_Tables_number 139
_symmetry_space_group_name_Hall '-I 4 2'
_cell_length_a 8.0513
_cell_length_b 8.0513
_cell_length_c 3.7778
_cell_angle_alpha 90.00
_cell_angle_beta 90.00
_cell_angle_gamma 90.00
loop_
_atom_site_label
_atom_site_fract_x
_atom_site_fract_y
_atom_site_fract_z
Be1 0.0000 0.0000 0.0000
Ru1 0.0000 0.3354 0.0000
Ru2 0.1681 0.1681 0.5000
```